Record 1
The following is a PBE calculation of an optimized crystal structure of Nb3IBr, from Alexandria.

a = 4.850 Å, b = 4.850 Å, c = 4.850 Å
α = 90.00°, β = 90.00°, γ = 90.00°
Space group Pm-3m (No. 221)
Inequivalent atoms, fractional coordinates:
Nb 0.000 0.000 0.500 x3
I 0.500 0.500 0.500 x1
Br 0.000 0.000 0.000 x1

Computed properties:
Polymorph energy (0 for the lowest one), meV per atom: 0.0
Fermi-level density of states, states/eV/cell: 4.62
Electronic total energy, eV/atom: -5.398
Magnetization, μB/cell: 0.00


Record 2
The following is a PBE calculation of an optimized crystal structure of Nb3I7Br, from Alexandria.

a = 13.224 Å, b = 7.632 Å, c = 9.913 Å
α = 90.00°, β = 130.31°, γ = 90.00°
Space group Cm (No. 8)
Inequivalent atoms, fractional coordinates:
Nb 0.000 0.000 0.000 x2
Nb 0.196 0.196 0.000 x4
I 0.028 0.500 0.794 x2
I 0.171 0.249 0.254 x4
I 0.282 0.246 0.793 x4
I 0.390 0.500 0.190 x2
I 0.419 0.000 0.254 x2
Br 0.006 0.000 0.742 x2

Computed properties:
Fermi-level density of states, states/eV/cell: 5.21
Electronic total energy, eV/atom: -4.431
Magnetization, μB/cell: 1.94


Record 3
The following is a PBE calculation of an optimized crystal structure of NbIBr2, from Alexandria.

a = 3.4062 Å, b = 3.4062 Å, c = 35.6311 Å
α = 90.00°, β = 90.00°, γ = 120.00°
Space group R-3m (No. 166, hexagonal axes)
Inequivalent atoms, fractional coordinates:
Nb 0.0000 0.0000 0.0000 x3
I 0.0000 0.0000 0.5000 x3
Br 0.0000 0.0000 0.3850 x6

Computed properties:
Polymorph energy (0 for the lowest one), meV per atom: 276.0
Fermi-level density of states, states/eV/cell: 12.16
Electronic total energy, eV/atom: -4.136
Magnetization, μB/cell: 0.00


Record 4
The following is a PBE calculation of an optimized crystal structure of NbI2BrO, from Alexandria.

a = 6.039 Å, b = 6.039 Å, c = 3.788 Å
α = 90.00°, β = 90.00°, γ = 90.00°
Space group P4/mmm (No. 123)
Inequivalent atoms, fractional coordinates:
Nb 0.000 0.000 0.000 x1
I 0.000 0.500 0.500 x2
Br 0.500 0.500 0.500 x1
O 0.500 0.500 0.000 x1

Computed properties:
Polymorph energy (0 for the lowest one), meV per atom: 1601.5
Fermi-level density of states, states/eV/cell: 4.59
Electronic total energy, eV/atom: -3.000
Magnetization, μB/cell: 3.25


Record 5
The following is a PBE calculation of an optimized crystal structure of NbI2BrO, from Alexandria.

a = 5.525 Å, b = 5.525 Å, c = 5.103 Å
α = 90.00°, β = 90.00°, γ = 90.00°
Space group P4/mmm (No. 123)
Inequivalent atoms, fractional coordinates:
Nb 0.000 0.000 0.000 x1
I 0.000 0.500 0.000 x2
Br 0.000 0.000 0.500 x1
O 0.500 0.500 0.500 x1

Computed properties:
Polymorph energy (0 for the lowest one), meV per atom: 1044.8
Fermi-level density of states, states/eV/cell: 16.57
Electronic total energy, eV/atom: -3.557
Magnetization, μB/cell: 0.11


Record 6
The following is a PBE calculation of an optimized crystal structure of NbI2BrO, from Alexandria.

a = 5.711 Å, b = 5.711 Å, c = 3.928 Å
α = 90.00°, β = 90.00°, γ = 90.00°
Space group P4/mmm (No. 123)
Inequivalent atoms, fractional coordinates:
Nb 0.000 0.000 0.000 x1
I 0.000 0.500 0.000 x2
Br 0.500 0.500 0.500 x1
O 0.000 0.000 0.500 x1

Computed properties:
Polymorph energy (0 for the lowest one), meV per atom: 0.0
Fermi-level density of states, states/eV/cell: 3.44
Electronic total energy, eV/atom: -4.602
Magnetization, μB/cell: 0.00


Record 7
The following is a PBE calculation of an optimized crystal structure of Rb2NbIBr6, from Alexandria.

a = 8.636 Å, b = 8.636 Å, c = 12.229 Å
α = 90.00°, β = 90.00°, γ = 90.00°
Space group I4/mmm (No. 139)
Inequivalent atoms, fractional coordinates:
Rb 0.000 0.500 0.250 x4
Nb 0.000 0.000 0.000 x2
I 0.000 0.000 0.500 x2
Br 0.000 0.000 0.210 x4
Br 0.210 0.210 0.000 x8

Computed properties:
Polymorph energy (0 for the lowest one), meV per atom: 117.5
Fermi-level density of states, states/eV/cell: 0.00
Electronic total energy, eV/atom: -3.380
Magnetization, μB/cell: 0.00


Record 8
The following is a PBE calculation of an optimized crystal structure of Rb2NbIBr6, from Alexandria.

a = 7.138 Å, b = 7.295 Å, c = 8.863 Å
α = 74.87°, β = 79.94°, γ = 79.92°
Space group P1 (No. 1)
Inequivalent atoms, fractional coordinates:
Rb 0.000 0.000 0.000 x1
Rb 0.449 0.699 0.413 x1
Nb 0.474 0.450 0.927 x1
I 0.916 0.860 0.422 x1
Br 0.208 0.420 0.778 x1
Br 0.220 0.519 0.154 x1
Br 0.461 0.799 0.785 x1
Br 0.481 0.088 0.073 x1
Br 0.724 0.350 0.712 x1
Br 0.734 0.476 0.080 x1

Computed properties:
Polymorph energy (0 for the lowest one), meV per atom: 0.0
Electronic total energy, eV/atom: -3.498
Magnetization, μB/cell: 0.11